Ba3PuGe2O9: optimized geometry, GGA-PBE.

The structure in POSCAR format:
```
Ba3PuGe2O9
1.0
5.815 0.000 0.000
-2.907 5.036 0.000
0.000 0.000 7.170
Ba Pu Ge O
3 1 2 9
direct
0.000 0.000 0.000
0.333 0.667 0.684
0.667 0.333 0.316
0.000 0.000 0.500
0.333 0.667 0.162
0.667 0.333 0.838
0.000 0.500 0.000
0.177 0.354 0.319
0.177 0.823 0.319
0.354 0.177 0.681
0.500 0.000 0.000
0.500 0.500 0.000
0.646 0.823 0.319
0.823 0.177 0.681
0.823 0.646 0.681
```

* formation energy (no corrections): -35.8 eV per formula unit
* magnetization: 4.0 μB per formula unit

---

PmHo2Al: optimized geometry, GGA-PBE.

The structure in POSCAR format:
```
PmHo2Al
1.0
1.789 1.033 10.488
-1.789 1.033 10.488
0.000 -2.066 10.488
Pm Ho Al
1 2 1
direct
0.000 0.000 0.000
0.571 0.571 0.571
0.762 0.762 0.762
0.166 0.166 0.166
```

* polymorph energy (0 for the lowest one): 126 meV per atom
* magnetization: 0.0 μB per formula unit
* formation energy from the elements: -70 meV/atom

---

NdB3Ir6: optimized geometry, GGA-PBE.

The structure in POSCAR format:
```
NdB3Ir6
1.0
5.535 0.000 0.000
-0.005 5.661 0.000
-1.552 -2.830 4.657
Nd B Ir
1 3 6
direct
0.000 0.000 0.000
0.488 0.773 0.545
0.943 0.338 0.677
0.970 0.664 0.329
0.240 0.533 0.591
0.241 0.058 0.592
0.241 0.541 0.081
0.682 0.455 0.913
0.699 0.454 0.405
0.699 0.950 0.404
```

* magnetization: 0.0 μB per formula unit
* formation energy from the elements: -363 meV/atom

---

In2SiBr: optimized geometry, GGA-PBE.

The structure in POSCAR format:
```
In2SiBr
1.0
5.626 0.000 0.000
0.000 5.626 0.000
0.000 0.000 3.273
In Si Br
2 1 1
direct
0.000 0.500 0.137
0.500 0.000 0.863
0.500 0.500 0.000
0.000 0.000 0.500
```

* polymorph energy (0 for the lowest one): 80 meV per atom
* formation energy (no corrections): 0.1 eV per formula unit
* magnetization: 0.0 μB per formula unit

---

BaTcAgI2: optimized geometry, GGA-PBE.

The structure in POSCAR format:
```
BaTcAgI2
1.0
5.476 0.000 0.000
0.000 5.476 0.000
0.000 0.000 5.344
Ba Tc Ag I
1 1 1 2
direct
0.000 0.000 0.000
0.500 0.500 0.500
0.500 0.500 0.000
0.000 0.500 0.500
0.500 0.000 0.500
```

* formation energy (no corrections): -0.2 eV per formula unit
* magnetization: 1.9 μB per formula unit

---

DyHoCoCu: optimized geometry, GGA-PBE.

The structure in POSCAR format:
```
DyHoCoCu
1.0
0.000 3.391 3.391
3.391 0.000 3.391
3.391 3.391 0.000
Dy Ho Co Cu
1 1 1 1
direct
0.000 0.000 0.000
0.500 0.500 0.500
0.750 0.750 0.750
0.250 0.250 0.250
```

* polymorph energy (0 for the lowest one): 27 meV per atom
* magnetization: 0.3 μB per formula unit
* formation energy from the elements: -200 meV/atom